{
  "formula": "CoPbSe2",
  "functional": "GGA-PBE",
  "state": "relaxed",
  "cell": [[2.587, 0.000, 7.659], [-1.294, 2.241, 7.659], [-1.294, -2.241, 7.659]],
  "species": ["Co", "Pb", "Se", "Se"],
  "fractional_positions": [[0.000, 0.000, 0.000], [0.500, 0.500, 0.500], [0.098, 0.098, 0.098], [0.902, 0.902, 0.902]],
  "total_energy_ev_per_cell": -17.07,
  "magnetic_moment_mub_per_fu": 2.7
}